Here is a PBEsol-optimized structure of Na2VO3 from the Alexandria database. Energies are from SCAN.

abc: 5.2643 5.2664 5.6221
angles: 80.69 71.11 60.01
With the nearest neighbours (Å) after each atom.
Element x y z (fractional)
V 0.6674 0.6652 0.0000  6 O 1.95-1.97
V 0.3326 0.3348 0.0000  6 O 1.95-1.97
O 0.9312 0.6196 0.1980  2 V 1.95
O 0.6890 0.0000 0.7989  2 V 1.97
O 0.4492 0.6196 0.8020  2 V 1.95
Na 0.0000 0.0000 0.0000  6 O 2.26-2.27
Na 0.8419 0.3163 0.5000  4 O 2.24-2.41
O 0.5508 0.3804 0.1980  2 V 1.95
O 0.0688 0.3804 0.8020  2 V 1.95
Na 0.5000 0.0000 0.5000  6 O 2.21-2.47
Na 0.1581 0.6837 0.5000  4 O 2.24-2.41
O 0.3110 0.0000 0.2011  2 V 1.97

Formation energy (no corrections) ... -2291 meV per atom


Here is a PBEsol-optimized structure of NaV5O8 from the Alexandria database. Energies are from SCAN.

abc: 2.7898 7.0821 7.2195
angles: 104.16 101.14 90.00
With the nearest neighbours (Å) after each atom.
Element x y z (fractional)
O 0.0788 0.1634 0.1576  4 V 1.91-2.01
V 0.5000 0.0000 0.0000  6 O 1.97-2.03
V 0.1484 0.9643 0.2967  6 O 1.91-2.11
O 0.5809 0.8004 0.1619  3 V 1.91-2.03
O 0.6576 0.4894 0.3153  3 V 1.91-1.93
O 0.3424 0.5106 0.6847  3 V 1.91-1.93
O 0.7349 0.1540 0.4699  5 V 2.03-2.11
O 0.4191 0.1996 0.8381  3 V 1.91-2.03
V 0.8516 0.0357 0.7033  6 O 1.91-2.11
O 0.9212 0.8366 0.8424  4 V 1.91-2.01
V 0.2085 0.3587 0.4170  6 O 1.91-2.11
O 0.2651 0.8460 0.5301  5 V 2.03-2.11
V 0.7915 0.6413 0.5830  6 O 1.91-2.11
Na 0.0000 0.5000 0.0000  8 O 2.56-2.65, 2 Na 2.79

Relative energy among the computed polymorphs ... 0.104 eV per atom
Formation energy (no corrections) ... -2422 meV per atom


Here is a PBEsol-optimized structure of NaV3O8 from the Alexandria database. Energies are from SCAN.

abc: 3.5677 7.3026 12.0710
angles: 107.62 90.00 90.00
With the nearest neighbours (Å) after each atom.
Element x y z (fractional)
O 0.2500 0.1907 0.5449  1 V 1.62
O 0.7500 0.5125 0.7282  1 V 1.61
O 0.2500 0.1555 0.3195  1 V 1.71
V 0.7500 0.6815 0.5442  2 O 1.62-1.71
O 0.7500 0.1875 0.1717  3 V 1.87-2.09
V 0.2500 0.2695 0.1884  1 O 1.61
O 0.2500 0.5992 0.5423  3 V 1.88-2.00
O 0.2500 0.8125 0.8283  3 V 1.87-2.09
V 0.2500 0.1065 0.9187  2 O 1.61-1.75
O 0.7500 0.0391 0.9291  2 V 1.86
O 0.7500 0.8043 0.1883  1 V 1.61
O 0.2500 0.1957 0.8117  1 V 1.61
O 0.2500 0.3051 0.0444  2 V 1.75-1.83
O 0.7500 0.6949 0.9556  2 V 1.75-1.83
O 0.7500 0.8093 0.4551  1 V 1.62
V 0.2500 0.3185 0.4558  2 O 1.62-1.71
Na 0.7500 0.1716 0.6749  6 O 2.38-2.41
O 0.7500 0.8445 0.6805  1 V 1.71
O 0.2500 0.4875 0.2718  1 V 1.61
Na 0.2500 0.8284 0.3251  6 O 2.38-2.41
O 0.7500 0.4008 0.4577  3 V 1.88-2.00
O 0.2500 0.9609 0.0709  2 V 1.86
V 0.7500 0.7305 0.8116  1 O 1.61
V 0.7500 0.8935 0.0813  2 O 1.61-1.75

Formation energy (no corrections) ... -2514 meV per atom


Here is a PBEsol-optimized structure of NaV5O8 from the Alexandria database. Energies are from SCAN.

abc: 8.3930 8.3930 8.3930
angles: 90.00 90.00 90.00
With the nearest neighbours (Å) after each atom.
Element x y z (fractional)
V 0.8689 0.1250 0.3811  6 O 1.98-2.03
V 0.3750 0.6189 0.3689  6 O 1.98-2.03
O 0.1343 0.6051 0.3539  3 V 1.86-2.03
V 0.1250 0.3811 0.8689  6 O 1.98-2.03
O 0.8551 0.8843 0.3961  3 V 1.86-2.03
O 0.6461 0.6343 0.8949  3 V 1.86-2.03
O 0.6230 0.8770 0.1230  4 V 1.92-2.03
O 0.3730 0.6270 0.1270  4 V 1.92-2.03
V 0.2451 0.2451 0.2451  4 O 1.86-1.92
O 0.6449 0.1157 0.8961  3 V 1.86-2.03
O 0.3539 0.1343 0.6051  3 V 1.86-2.03
O 0.3770 0.3770 0.3770  4 V 1.92-2.03
V 0.2549 0.7549 0.7451  4 O 1.86-1.92
O 0.6051 0.3539 0.1343  3 V 1.86-2.03
Na 0.8750 0.3750 0.1250  6 O 2.27
V 0.1311 0.6250 0.1189  6 O 1.98-2.03
O 0.6157 0.6039 0.3551  3 V 1.86-2.03
Na 0.3750 0.1250 0.8750  6 O 2.27
O 0.8843 0.3961 0.8551  3 V 1.86-2.03
O 0.8539 0.3657 0.3949  3 V 1.86-2.03
V 0.0049 0.0049 0.0049  4 O 1.86-1.92
O 0.1270 0.3730 0.6270  4 V 1.92-2.03
V 0.7549 0.7451 0.2549  4 O 1.86-1.92
V 0.9951 0.5049 0.4951  4 O 1.86-1.92
Na 0.6250 0.6250 0.6250  6 O 2.27
O 0.6343 0.8949 0.6461  3 V 1.86-2.03
V 0.7451 0.2549 0.7549  4 O 1.86-1.92
O 0.8770 0.1230 0.6230  4 V 1.92-2.03
O 0.3843 0.1039 0.1449  3 V 1.86-2.03
O 0.6270 0.1270 0.3730  4 V 1.92-2.03
V 0.6311 0.8750 0.8811  6 O 1.98-2.03
O 0.8949 0.6461 0.6343  3 V 1.86-2.03
V 0.3811 0.8689 0.1250  6 O 1.98-2.03
V 0.3689 0.3750 0.6189  6 O 1.98-2.03
V 0.5049 0.4951 0.9951  4 O 1.86-1.92
O 0.6039 0.3551 0.6157  3 V 1.86-2.03
V 0.8750 0.8811 0.6311  6 O 1.98-2.03
V 0.8811 0.6311 0.8750  6 O 1.98-2.03
V 0.6250 0.1189 0.1311  6 O 1.98-2.03
O 0.1051 0.1461 0.8657  3 V 1.86-2.03
V 0.1189 0.1311 0.6250  6 O 1.98-2.03
O 0.1461 0.8657 0.1051  3 V 1.86-2.03
O 0.1449 0.3843 0.1039  3 V 1.86-2.03
O 0.3551 0.6157 0.6039  3 V 1.86-2.03
V 0.4951 0.9951 0.5049  4 O 1.86-1.92
V 0.6189 0.3689 0.3750  6 O 1.98-2.03
O 0.1230 0.6230 0.8770  4 V 1.92-2.03
Na 0.1250 0.8750 0.3750  6 O 2.27
O 0.3961 0.8551 0.8843  3 V 1.86-2.03
O 0.1157 0.8961 0.6449  3 V 1.86-2.03
O 0.8730 0.8730 0.8730  4 V 1.92-2.03
O 0.3949 0.8539 0.3657  3 V 1.86-2.03
O 0.8961 0.6449 0.1157  3 V 1.86-2.03
O 0.8657 0.1051 0.1461  3 V 1.86-2.03
O 0.3657 0.3949 0.8539  3 V 1.86-2.03
O 0.1039 0.1449 0.3843  3 V 1.86-2.03

Relative energy among the computed polymorphs ... 0.000 eV per atom
Formation energy (no corrections) ... -2526 meV per atom


Here is a PBEsol-optimized structure of Na3V5O10 from the Alexandria database. Energies are from SCAN.

abc: 4.8627 6.5735 7.0243
angles: 112.71 96.26 104.88
With the nearest neighbours (Å) after each atom.
Element x y z (fractional)
O 0.5107 0.2967 0.4783  3 V 1.97-2.06
Na 0.5982 0.6961 0.1950  6 O 2.31-2.45
V 0.3613 0.7748 0.7687  6 O 1.91-2.09
O 0.7023 0.6900 0.8728  3 V 1.96-2.03
O 0.3066 0.8828 0.0678  3 V 1.91-2.01
O 0.2930 0.3167 0.1285  3 V 1.94-2.05
O 0.0977 0.9302 0.7204  3 V 1.91-2.04
Na 0.7917 0.0939 0.5966  6 O 2.27-2.42
Na 0.4134 0.3036 0.8036  6 O 2.28-2.39
O 0.6818 0.1040 0.9160  3 V 1.93-2.09
V 0.5890 0.1879 0.1912  6 O 1.91-2.01
V 0.9992 0.0057 0.0105  6 O 1.93-2.04
O 0.9096 0.0938 0.2860  3 V 1.93-2.06
O 0.0989 0.4582 0.6888  3 V 1.93-1.96
O 0.8905 0.5084 0.3223  3 V 1.90-2.01
O 0.5063 0.7192 0.5177  3 V 1.91-2.10
V 0.8454 0.6111 0.6118  6 O 1.93-2.10
V 0.2043 0.4269 0.4241  6 O 1.90-2.06

Formation energy (no corrections) ... -2486 meV per atom


Here is a PBEsol-optimized structure of Na5VO5 from the Alexandria database. Energies are from SCAN.

abc: 5.8211 5.8211 9.8635
angles: 99.22 99.22 116.18
With the nearest neighbours (Å) after each atom.
Element x y z (fractional)
V 0.9076 0.0924 0.2500  5 O 1.76-1.92
O 0.0460 0.7103 0.8762  1 V 1.80
Na 0.7875 0.5581 0.0520  5 O 2.26-2.49
O 0.1857 0.3993 0.3906  1 V 1.92
O 0.9540 0.2897 0.1238  1 V 1.80
O 0.0859 0.9141 0.2500  1 V 1.76
Na 0.6699 0.9728 0.9176  4 O 2.25-2.40
Na 0.9728 0.6699 0.4176  4 O 2.25-2.40
Na 0.3301 0.0272 0.0824  4 O 2.25-2.40
O 0.9141 0.0859 0.7500  1 V 1.76
Na 0.0272 0.3301 0.5824  4 O 2.25-2.40
Na 0.5581 0.7875 0.5520  5 O 2.26-2.49
Na 0.4419 0.2125 0.4480  5 O 2.26-2.49
Na 0.3341 0.6659 0.2500  5 O 2.23-2.45
O 0.8143 0.6007 0.6094  1 V 1.92
O 0.2897 0.9540 0.6238  1 V 1.80
Na 0.2125 0.4419 0.9480  5 O 2.26-2.49
O 0.6007 0.8143 0.1094  1 V 1.92
Na 0.6659 0.3341 0.7500  5 O 2.23-2.45
V 0.0924 0.9076 0.7500  5 O 1.76-1.92
O 0.3993 0.1857 0.8906  1 V 1.92
O 0.7103 0.0460 0.3762  1 V 1.80

Relative energy among the computed polymorphs ... 0.061 eV per atom
Formation energy (no corrections) ... -2036 meV per atom